Record 1
Computed, not measured: an optimized crystal structure of PaCd2Cl8 at the PBE-GGA level of DFT.

abc: 17.5734 7.0677 6.5624
angles: 90.00 96.41 90.00
With the nearest neighbours (Å) after each atom.
Space group C2/m (No. 12)
Asymmetric unit:
Pa 0.0000 0.0000 0.0000  6 Cl 2.65-2.68
Cd 0.1610 0.0000 0.4521  2 Cl 2.37-2.56
Cl 0.0639 0.2504 0.2677  1 Pa 2.65, 1 Cd 2.65
Cl 0.1304 0.0000 0.8241  1 Cd 2.56, 1 Pa 2.68
Cl 0.2105 0.5000 0.6232  1 Cd 2.37

Properties
ΔE_f (raw)	-131.02	kJ/mol of atoms
spin magnetization	0.0913	μB per atom
electronic total energy	-82.1	eV for the cell shown

Record 2
Computed, not measured: an optimized crystal structure of Li2TaIrW at the PBE-GGA level of DFT.

abc: 4.3192 4.3192 4.7161
angles: 90.00 90.00 90.00
With the nearest neighbours (Å) after each atom.
Space group P4/mmm (No. 123)
Asymmetric unit:
Li 0.0000 0.5000 0.0000  2 W 2.16
Ta 0.0000 0.0000 0.5000  4 Ir 3.05, 8 Li 3.20
Ir 0.5000 0.5000 0.5000  2 W 2.36
W 0.5000 0.5000 0.0000  4 Li 2.16, 2 Ir 2.36

Properties
energy relative to the elements	1594	meV/atom
spin magnetization	0.0000	μB per atom
electronic total energy	-29.5	eV for the cell shown

Record 3
Computed, not measured: an optimized crystal structure of SiHBr3 at the PBE-GGA level of DFT.

abc: 5.0886 5.0886 5.0886
angles: 90.00 90.00 90.00
With the nearest neighbours (Å) after each atom.
Space group Pm-3m (No. 221)
Asymmetric unit:
Si 0.0000 0.0000 0.0000  6 Br 2.54
H 0.5000 0.5000 0.5000  12 Br 3.60
Br 0.0000 0.0000 0.5000  2 Si 2.54

Properties
spin magnetization	0.1805	μB per atom
electronic total energy	-12.6	eV for the cell shown

Record 4
Computed, not measured: an optimized crystal structure of Pu4Ni3Bi8 at the PBE-GGA level of DFT.

abc: 4.5539 4.5539 18.7419
angles: 90.00 90.00 90.00
With the nearest neighbours (Å) after each atom.
Space group P-4m2 (No. 115)
Asymmetric unit:
Pu 0.0000 0.5000 0.1095  2 Ni 3.07, 5 Bi 3.29-3.43
Pu 0.0000 0.5000 0.6144  4 Ni 3.13, 8 Bi 3.29-3.45
Ni 0.0000 0.0000 0.0000  4 Bi 2.66
Ni 0.0000 0.0000 0.5000  4 Bi 2.70
Ni 0.5000 0.5000 0.5000  4 Bi 2.70
Bi 0.0000 0.0000 0.2474  4 Bi 3.22, 4 Pu 3.44-3.45
Bi 0.0000 0.5000 0.4226  4 Ni 2.70
Bi 0.0000 0.5000 0.9266  2 Ni 2.66
Bi 0.5000 0.5000 0.2476  4 Bi 3.22, 4 Pu 3.45

Properties
energy relative to the elements	-252	meV/atom
spin magnetization	1.4313	μB per atom
electronic total energy	-109.5	eV for the cell shown

Record 5
Computed, not measured: an optimized crystal structure of Si3AsN at the PBE-GGA level of DFT.

abc: 4.1661 4.1661 4.1661
angles: 90.00 90.00 90.00
With the nearest neighbours (Å) after each atom.
Space group Pm-3m (No. 221)
Asymmetric unit:
Si 0.0000 0.0000 0.5000  2 N 2.08
As 0.5000 0.5000 0.5000  12 Si 2.95
N 0.0000 0.0000 0.0000  6 Si 2.08

Properties
ΔE_f (raw)	69.41	kJ/mol of atoms
spin magnetization	0.0000	μB per atom
electronic total energy	-25.6	eV for the cell shown

Record 6
Computed, not measured: an optimized crystal structure of K2Ga2Hg at the PBE-GGA level of DFT.

abc: 6.7695 6.7695 7.9767
angles: 90.00 90.00 90.00
With the nearest neighbours (Å) after each atom.
Space group I4/mmm (No. 139)
Asymmetric unit:
K 0.0000 0.5000 0.2500  4 Ga 3.47
Ga 0.0000 0.0000 0.1516  1 Ga 2.42
Hg 0.0000 0.0000 0.5000  2 Ga 2.78

Properties
energy relative to the elements	46	meV/atom
spin magnetization	0.0000	μB per atom
electronic total energy	-16.6	eV for the cell shown

Record 7
Computed, not measured: an optimized crystal structure of ZrGa3 at the PBE-GGA level of DFT.

abc: 3.9196 3.9196 9.1723
angles: 90.00 90.00 90.00
With the nearest neighbours (Å) after each atom.
Space group I4/mmm (No. 139)
Asymmetric unit:
Zr 0.0000 0.0000 0.0000  12 Ga 2.77-3.02
Ga 0.0000 0.0000 0.5000  4 Zr 2.77, 8 Ga 3.02
Ga 0.0000 0.5000 0.2500  8 Ga 2.77-3.02, 4 Zr 3.02

Properties
energy relative to the elements	-484	meV/atom
spin magnetization	0.0000	μB per atom
electronic total energy	-39.1	eV for the cell shown

Record 8
Computed, not measured: an optimized crystal structure of ScMoCl2 at the PBE-GGA level of DFT.

abc: 3.1021 3.1021 25.8054
angles: 90.00 90.00 120.00
With the nearest neighbours (Å) after each atom.
Space group R-3m (No. 166, hexagonal axes)
Asymmetric unit:
Sc 0.0000 0.0000 0.0000  6 Cl 2.58
Mo 0.0000 0.0000 0.5000  2 Cl 2.45
Cl 0.0000 0.0000 0.4052  1 Mo 2.45, 3 Sc 2.58

Properties
ΔE_f (raw)	-44.14	kJ/mol of atoms
spin magnetization	0.0000	μB per atom
electronic total energy	-68.1	eV for the cell shown

Record 9
Computed, not measured: an optimized crystal structure of PtRhI2O at the PBE-GGA level of DFT.

abc: 5.5044 5.5044 3.6791
angles: 90.00 90.00 90.00
With the nearest neighbours (Å) after each atom.
Space group P4/mmm (No. 123)
Asymmetric unit:
Pt 0.0000 0.0000 0.0000  8 I 3.31, 2 Pt 3.68
Rh 0.5000 0.5000 0.5000  2 O 1.84
I 0.0000 0.5000 0.5000  2 Rh 2.75
O 0.5000 0.5000 0.0000  2 Rh 1.84

Properties
ΔE_f (raw)	32.90	kJ/mol of atoms
spin magnetization	0.0000	μB per atom
electronic total energy	-19.7	eV for the cell shown

Record 10
Computed, not measured: an optimized crystal structure of NaDyEr at the PBE-GGA level of DFT.

abc: 3.4706 3.4706 16.1872
angles: 90.00 90.00 90.00
With the nearest neighbours (Å) after each atom.
Space group I4mm (No. 107)
Asymmetric unit:
Na 0.0000 0.0000 0.0000  4 Na 3.47, 4 Er 3.76, 4 Dy 3.77
Dy 0.0000 0.0000 0.3228  4 Er 3.42, 4 Dy 3.47, 4 Na 3.77
Er 0.0000 0.0000 0.6759  4 Dy 3.42, 4 Er 3.47, 4 Na 3.76

Properties
energy relative to the elements	168	meV/atom
spin magnetization	0.0000	μB per atom
electronic total energy	-20.0	eV for the cell shown

Q: Which value of electronic total energy does entry 7 give?
A: -39.1 eV for the cell shown